# B5W2 | Alexandria via LeMat-Bulk | GGA-PBE | relaxed
# Electronic total energy   -8.19 eV/atom
# Fermi-level density of states   6.7 states/eV/cell
# ΔH_f (0 K)   0.282 eV per atom
data_B5W2
_chemical_formula_sum 'B10 W4'
_symmetry_space_group_name_H-M 'P 63/m m c'
_symmetry_Int_Tables_number 194
_symmetry_space_group_name_Hall '-P 6c 2c'
_cell_length_a 3.1119
_cell_length_b 3.1119
_cell_length_c 14.2062
_cell_angle_alpha 90.00
_cell_angle_beta 90.00
_cell_angle_gamma 120.00
loop_
_atom_site_label
_atom_site_fract_x
_atom_site_fract_y
_atom_site_fract_z
B1 0.0000 0.0000 0.0000
B2 0.0000 0.0000 0.2500
B3 0.3333 0.6667 0.0280
B4 0.3333 0.6667 0.2500
W1 0.3333 0.6667 0.6374